[1]
ThPaAl after structural relaxation, computed with PBE-GGA.

Output
For the final energy, the calculation gives -6.763 eV/atom. The space group is P-62m (189). The value obtained for the energy of formation from the pure elements is 0.12 eV/atom.

Lattice parameters (Å, degrees): 8.945 8.945 3.171 90.00 90.00 120.00
Element x y z (fractional)
Th: 0.000 0.693 0.000
Th: 0.307 0.307 0.000
Th: 0.693 0.000 0.000
Pa: 0.000 0.000 0.500
Pa: 0.333 0.667 0.000
Pa: 0.667 0.333 0.000
Al: 0.000 0.365 0.500
Al: 0.365 0.000 0.500
Al: 0.635 0.635 0.500



[2]
Ho2MgS4 after structural relaxation, computed with PBE-GGA.

Output
For the final energy, the calculation gives -5.616 eV/atom. The value obtained for the energy relative to the elements, uncorrected is -1.7218 eV/atom. The space group is P-1 (2).

Lattice parameters (Å, degrees): 7.334 8.720 11.678 99.80 96.38 91.93
Element x y z (fractional)
Ho: 0.130 0.446 0.331
Ho: 0.141 0.977 0.355
Ho: 0.249 0.123 0.996
Ho: 0.362 0.293 0.654
Ho: 0.638 0.707 0.346
Ho: 0.751 0.877 0.004
Ho: 0.859 0.023 0.645
Ho: 0.870 0.554 0.669
Mg: 0.259 0.594 0.987
Mg: 0.363 0.793 0.690
Mg: 0.637 0.207 0.310
Mg: 0.741 0.406 0.013
S: 0.087 0.949 0.133
S: 0.094 0.396 0.104
S: 0.198 0.541 0.603
S: 0.206 0.007 0.606
S: 0.292 0.717 0.361
S: 0.346 0.236 0.400
S: 0.388 0.837 0.899
S: 0.398 0.350 0.881
S: 0.602 0.650 0.119
S: 0.612 0.163 0.101
S: 0.654 0.764 0.600
S: 0.708 0.283 0.639
S: 0.794 0.993 0.394
S: 0.802 0.459 0.397
S: 0.906 0.604 0.896
S: 0.913 0.051 0.867



[3]
Mg2CrAu after structural relaxation, computed with PBE-GGA.

Output
For the final energy, the calculation gives -3.891 eV/atom. The space group is P4/mmm (123). The value obtained for the energy of formation from the pure elements is 0.13 eV/atom.

Lattice parameters (Å, degrees): 2.850 2.850 8.204 90.00 90.00 90.00
Element x y z (fractional)
Mg: 0.000 0.000 0.245
Mg: 0.000 0.000 0.755
Cr: 0.500 0.500 0.000
Au: 0.500 0.500 0.500



[4]
KNiP after structural relaxation, computed with PBE-GGA.

Output
For the final energy, the calculation gives -4.238 eV/atom. The space group is I4mm (107). The value obtained for the energy of formation from the pure elements is -0.14 eV/atom.

Lattice parameters (Å, degrees): 6.205 6.205 6.205 150.27 150.27 42.55
Element x y z (fractional)
K: 0.000 0.000 0.000
Ni: 0.270 0.270 0.000
P: 0.717 0.717 0.000



So what do the calculations give for DOS at the Fermi energy? Going down the list: 1.52, 0.00, 0.51, 0.38 states/eV per atom.